SrWOF2, optimized geometry, DFT PBE+U; electronic total energy = -24.6 eV for the cell shown; space group = P4/mmm (123); magnetization = 0.80 μB per atom; crystal system = tetragonal
1.0
4.483 0.000 0.000
0.000 4.483 0.000
0.000 0.000 4.968
Sr W O F
1 1 1 2
Direct
0.000 0.000 0.000
0.500 0.500 0.500
0.000 0.000 0.500
0.000 0.500 0.000
0.500 0.000 0.000